# NaTlSe2

NaTlSe2 after structural relaxation (PBE, the Alexandria database).

Energy, eV/f.u.: -12.73
Space group: P1 (1)
Energy relative to the elements, uncorrected, eV/atom: -0.52
Size of the total moment, μB per atom: 0.000

Cell and atoms, written as POSCAR:
```
NaTlSe2
1.0
4.252 0.000 0.000
0.152 4.250 0.000
1.165 1.109 6.520
Na Tl Se
1 1 2
direct
0.000 0.000 0.000 Na
0.660 0.655 0.529 Tl
0.257 0.253 0.338 Se
0.504 0.504 0.988 Se
```

=====

# Na14Tl2Se9

Na14Tl2Se9 after structural relaxation (PBE, the Alexandria database).

Energy, eV/f.u.: -77.36
Space group: P-3 (147)
Energy relative to the elements, uncorrected, eV/atom: -0.91
Size of the total moment, μB per atom: 0.012

Cell and atoms, written as POSCAR:
```
Na14Tl2Se9
1.0
8.494 0.000 0.000
-4.247 7.356 0.000
0.000 0.000 11.820
Na Tl Se
14 2 9
direct
0.000 0.000 0.248 Na
0.000 0.000 0.752 Na
0.019 0.674 0.408 Na
0.037 0.366 0.092 Na
0.326 0.345 0.408 Na
0.328 0.963 0.092 Na
0.345 0.019 0.592 Na
0.366 0.328 0.908 Na
0.634 0.672 0.092 Na
0.655 0.981 0.408 Na
0.672 0.037 0.908 Na
0.674 0.655 0.592 Na
0.963 0.634 0.908 Na
0.981 0.326 0.592 Na
0.333 0.667 0.753 Tl
0.667 0.333 0.247 Tl
0.000 0.000 0.500 Se
0.027 0.334 0.841 Se
0.307 0.973 0.841 Se
0.333 0.667 0.507 Se
0.334 0.307 0.159 Se
0.666 0.693 0.841 Se
0.667 0.333 0.493 Se
0.693 0.027 0.159 Se
0.973 0.666 0.159 Se
```

=====

# NaTlSe2

NaTlSe2 after structural relaxation (PBE, the Alexandria database).

Energy, eV/f.u.: -12.80
Space group: P1 (1)
Energy relative to the elements, uncorrected, eV/atom: -0.54
Size of the total moment, μB per atom: 0.000

Cell and atoms, written as POSCAR:
```
NaTlSe2
1.0
4.442 0.000 0.000
-0.008 7.540 0.000
-2.210 -3.772 7.082
Na Tl Se
2 2 4
direct
0.000 0.000 0.000 Na
0.274 0.273 0.546 Na
0.006 0.523 0.011 Tl
0.271 0.784 0.536 Tl
0.444 0.198 0.888 Se
0.637 0.020 0.273 Se
0.637 0.340 0.273 Se
0.832 0.584 0.660 Se
```

=====

# NaTl5Se5

NaTl5Se5 after structural relaxation (PBE, the Alexandria database).

Energy, eV/f.u.: -34.34
Space group: C2/m (12)
Energy relative to the elements, uncorrected, eV/atom: -0.34
Size of the total moment, μB per atom: 0.000

Cell and atoms, written as POSCAR:
```
NaTl5Se5
1.0
6.711 -2.983 0.000
6.711 2.983 0.000
-2.303 0.000 8.508
Na Tl Se
1 5 5
direct
0.000 0.000 0.000 Na
0.000 0.000 0.500 Tl
0.320 0.320 0.134 Tl
0.331 0.331 0.678 Tl
0.669 0.669 0.322 Tl
0.680 0.680 0.866 Tl
0.164 0.164 0.832 Se
0.171 0.171 0.331 Se
0.500 0.500 0.000 Se
0.829 0.829 0.669 Se
0.836 0.836 0.168 Se
```

=====

# NaTl2Se2

NaTl2Se2 after structural relaxation (PBE, the Alexandria database).

Energy, eV/f.u.: -14.82
Space group: I4/mmm (139)
Energy relative to the elements, uncorrected, eV/atom: -0.36
Size of the total moment, μB per atom: 0.000

Cell and atoms, written as POSCAR:
```
NaTl2Se2
1.0
-2.249 2.249 7.381
2.249 -2.249 7.381
2.249 2.249 -7.381
Na Tl Se
1 2 2
direct
0.000 0.000 0.000 Na
0.250 0.750 0.500 Tl
0.750 0.250 0.500 Tl
0.414 0.414 0.000 Se
0.586 0.586 0.000 Se
```

=====

# Na2Tl5Se4

Na2Tl5Se4 after structural relaxation (PBE, the Alexandria database).

Energy, eV/f.u.: -33.94
Space group: C2/m (12)
Energy relative to the elements, uncorrected, eV/atom: -0.50
Size of the total moment, μB per atom: 0.000

Cell and atoms, written as POSCAR:
```
Na2Tl5Se4
1.0
8.677 -2.202 0.000
8.677 2.202 0.000
-5.626 0.000 8.621
Na Tl Se
2 5 4
direct
0.048 0.048 0.195 Na
0.952 0.952 0.805 Na
0.000 0.000 0.500 Tl
0.249 0.249 0.667 Tl
0.363 0.363 0.163 Tl
0.637 0.637 0.837 Tl
0.751 0.751 0.333 Tl
0.152 0.152 0.047 Se
0.392 0.392 0.587 Se
0.608 0.608 0.413 Se
0.848 0.848 0.953 Se
```

=====

# Na2Tl2Se

Na2Tl2Se after structural relaxation (PBE, the Alexandria database).

Energy, eV/f.u.: -12.40
Space group: P4/mbm (127)
Energy relative to the elements, uncorrected, eV/atom: -0.31
Size of the total moment, μB per atom: 0.000

Cell and atoms, written as POSCAR:
```
Na2Tl2Se
1.0
7.403 0.000 0.000
0.000 7.403 0.000
0.000 0.000 5.358
Na Tl Se
4 4 2
direct
0.157 0.343 0.000 Na
0.343 0.843 0.000 Na
0.657 0.157 0.000 Na
0.843 0.657 0.000 Na
0.165 0.665 0.500 Tl
0.335 0.165 0.500 Tl
0.665 0.835 0.500 Tl
0.835 0.335 0.500 Tl
0.000 0.000 0.000 Se
0.500 0.500 0.000 Se
```

=====

# Na2TlSe2

Na2TlSe2 after structural relaxation (PBE, the Alexandria database).

Energy, eV/f.u.: -15.60
Space group: P-1 (2)
Energy relative to the elements, uncorrected, eV/atom: -0.73
Size of the total moment, μB per atom: 0.000

Cell and atoms, written as POSCAR:
```
Na2TlSe2
1.0
7.433 0.000 0.000
0.509 7.462 0.000
1.550 1.430 10.599
Na Tl Se
8 4 8
direct
0.008 0.256 0.466 Na
0.017 0.704 0.207 Na
0.478 0.199 0.801 Na
0.480 0.732 0.528 Na
0.520 0.268 0.472 Na
0.522 0.801 0.199 Na
0.983 0.296 0.793 Na
0.992 0.744 0.534 Na
0.110 0.841 0.875 Tl
0.398 0.333 0.164 Tl
0.602 0.667 0.836 Tl
0.890 0.159 0.125 Tl
0.231 0.496 0.912 Se
0.232 0.016 0.641 Se
0.239 0.012 0.052 Se
0.268 0.554 0.377 Se
0.732 0.446 0.623 Se
0.761 0.988 0.948 Se
0.768 0.984 0.359 Se
0.769 0.504 0.088 Se
```

=====

# NaTlSe2

NaTlSe2 after structural relaxation (PBE, the Alexandria database).

Energy, eV/f.u.: -12.52
Space group: Pnma (62)
Energy relative to the elements, uncorrected, eV/atom: -0.47
Size of the total moment, μB per atom: 0.000

Cell and atoms, written as POSCAR:
```
NaTlSe2
1.0
7.800 0.000 0.000
0.000 4.051 0.000
0.000 0.000 14.923
Na Tl Se
4 4 8
direct
0.094 0.250 0.111 Na
0.406 0.750 0.611 Na
0.594 0.250 0.389 Na
0.906 0.750 0.889 Na
0.030 0.750 0.388 Tl
0.470 0.250 0.888 Tl
0.530 0.750 0.112 Tl
0.970 0.250 0.612 Tl
0.090 0.750 0.718 Se
0.237 0.250 0.480 Se
0.263 0.750 0.980 Se
0.410 0.250 0.218 Se
0.590 0.750 0.782 Se
0.737 0.250 0.020 Se
0.763 0.750 0.520 Se
0.910 0.250 0.282 Se
```

=====

# NaTlSe2

NaTlSe2 after structural relaxation (PBE, the Alexandria database).

Energy, eV/f.u.: -12.78
Space group: P1 (1)
Energy relative to the elements, uncorrected, eV/atom: -0.53
Size of the total moment, μB per atom: 0.000

Cell and atoms, written as POSCAR:
```
NaTlSe2
1.0
4.973 0.000 0.000
-1.756 7.176 0.000
-2.470 -1.555 6.856
Na Tl Se
2 2 4
direct
0.000 0.000 0.000 Na
0.414 0.610 0.082 Na
0.082 0.542 0.504 Tl
0.368 0.136 0.590 Tl
0.634 0.053 0.260 Se
0.699 0.838 0.492 Se
0.767 0.583 0.833 Se
0.830 0.357 0.050 Se
```

=====

# NaTlSe4

NaTlSe4 after structural relaxation (PBE, the Alexandria database).

Energy, eV/f.u.: -19.54
Space group: P-1 (2)
Energy relative to the elements, uncorrected, eV/atom: -0.32
Size of the total moment, μB per atom: 0.000

Cell and atoms, written as POSCAR:
```
NaTlSe4
1.0
4.511 0.000 0.000
0.000 4.632 0.000
1.660 0.001 8.734
Na Tl Se
1 1 4
direct
0.000 0.000 0.000 Na
0.000 0.500 0.500 Tl
0.376 0.503 0.775 Se
0.403 0.996 0.241 Se
0.597 0.004 0.759 Se
0.624 0.497 0.225 Se
```

=====

# Na2TlSe2

Na2TlSe2 after structural relaxation (PBE, the Alexandria database).

Energy, eV/f.u.: -14.83
Space group: I4/mmm (139)
Energy relative to the elements, uncorrected, eV/atom: -0.57
Size of the total moment, μB per atom: 0.178

Cell and atoms, written as POSCAR:
```
Na2TlSe2
1.0
-2.389 2.389 6.166
2.389 -2.389 6.166
2.389 2.389 -6.166
Na Tl Se
2 1 2
direct
0.250 0.750 0.500 Na
0.750 0.250 0.500 Na
0.000 0.000 0.000 Tl
0.383 0.383 0.000 Se
0.617 0.617 0.000 Se
```